Ca3Y3ZnS8 after structural relaxation, computed with PBE-GGA.

Cell lengths 7.9468, 7.9468, 7.9468 Å; angles 59.10, 59.10, 59.10 degrees
Positions (direct):
Ca 0.0000 0.5000 0.5000
Ca 0.5000 0.0000 0.5000
Ca 0.5000 0.5000 0.0000
Y 0.0000 0.0000 0.5000
Y 0.0000 0.5000 0.0000
Y 0.5000 0.0000 0.0000
Zn 0.5000 0.5000 0.5000
S 0.2480 0.2480 0.2480
S 0.2565 0.7366 0.7366
S 0.2634 0.2634 0.7435
S 0.2634 0.7435 0.2634
S 0.7366 0.2565 0.7366
S 0.7366 0.7366 0.2565
S 0.7435 0.2634 0.2634
S 0.7520 0.7520 0.7520

Properties
raw total energy	-87.630	eV per cell
energy relative to the elements, uncorrected	-27.939	eV per formula unit
calculated volume	348	Å³/f.u.
SG	R-3m (166)



PmP2Pt7Au after structural relaxation, computed with PBE-GGA.

Cell lengths 14.8591, 14.8591, 14.8591 Å; angles 164.38, 164.38, 22.16 degrees
Positions (direct):
Pm 0.0000 0.0000 0.0000
P 0.3798 0.3798 0.0000
P 0.6202 0.6202 0.0000
Pt 0.0770 0.5770 0.5000
Pt 0.3063 0.3063 0.0000
Pt 0.4230 0.9230 0.5000
Pt 0.5000 0.5000 0.0000
Pt 0.5771 0.0771 0.5000
Pt 0.6937 0.6937 0.0000
Pt 0.9229 0.4229 0.5000
Au 0.7500 0.2500 0.5000

Properties
raw total energy	-64.404	eV per cell
formation enthalpy at 0 K	-28.7	kJ/mol of atoms
calculated volume	238	Å³/f.u.
SG	I-4m2 (119)



Tb4SmHo2Er after structural relaxation, computed with PBE-GGA.

Cell lengths 5.0179, 5.0179, 10.0514 Å; angles 90.00, 90.00, 90.00 degrees
Positions (direct):
Tb 0.0000 0.5000 0.2482
Tb 0.0000 0.5000 0.7518
Tb 0.5000 0.0000 0.2482
Tb 0.5000 0.0000 0.7518
Sm 0.0000 0.0000 0.5000
Ho 0.0000 0.0000 0.0000
Ho 0.5000 0.5000 0.5000
Er 0.5000 0.5000 0.0000

Properties
raw total energy	-36.825	eV per cell
formation enthalpy at 0 K	1.6	kJ/mol of atoms
calculated volume	253	Å³/f.u.
SG	P4/mmm (123)